SrTb2Ga4 after structural relaxation. Source: the Alexandria database, functional PBE-GGA.

Lattice parameters (Å, degrees): 4.178 4.483 9.800 103.22 102.31 90.00
Positions (direct):
Ga: 0.931 0.431 0.862
Sr: 0.500 0.000 0.000
Ga: 0.349 0.349 0.698
Ga: 0.651 0.651 0.302
Ga: 0.069 0.569 0.138
Tb: 0.185 0.185 0.370
Tb: 0.815 0.815 0.630

Output
V = 24.91 A^3/atom
Fermi-level density of states = 0.791 states/eV/atom
Total DFT energy (no corrections) = -0.282 Ry per atom

---

TlSn2I after structural relaxation. Source: the Alexandria database, functional PBE-GGA.

Lattice parameters (Å, degrees): 6.512 6.512 9.473 69.90 69.90 90.00
Positions (direct):
I: 0.500 0.500 0.000
Sn: 0.375 0.340 0.750
Sn: 0.660 0.125 0.250
Sn: 0.090 0.625 0.250
Sn: 0.875 0.910 0.750
Tl: 0.750 0.250 0.500
I: 0.250 0.750 0.500
Tl: 0.000 0.000 0.000

Output
V = 43.89 A^3/atom
Fermi-level density of states = 0.921 states/eV/atom
E_form (uncorrected) = 0.32 eV/atom

---

HoPRh after structural relaxation. Source: the Alexandria database, functional PBE-GGA.

Lattice parameters (Å, degrees): 3.776 3.776 10.269 90.00 90.00 120.00
Positions (direct):
Rh: 0.667 0.333 0.586
Rh: 0.333 0.667 0.414
P: 0.333 0.667 0.668
Ho: 0.667 0.333 0.857
P: 0.667 0.333 0.332
Ho: 0.333 0.667 0.143

Output
V = 21.13 A^3/atom
Fermi-level density of states = 0.619 states/eV/atom
Total DFT energy (no corrections) = -0.472 Ry per atom

---

InGa2Si after structural relaxation. Source: the Alexandria database, functional PBE-GGA.

Lattice parameters (Å, degrees): 3.117 3.117 9.913 80.96 80.96 60.00
Positions (direct):
Ga: 0.098 0.098 0.707
Ga: 0.902 0.902 0.293
In: 0.000 0.000 0.000
Si: 0.500 0.500 0.500

Output
V = 20.50 A^3/atom
Fermi-level density of states = 0.294 states/eV/atom
E_form (uncorrected) = 0.20 eV/atom

---

Cs2MgTl2Br6 after structural relaxation. Source: the Alexandria database, functional PBE-GGA.

Lattice parameters (Å, degrees): 8.416 8.416 7.715 99.95 99.95 115.48
Positions (direct):
Br: 0.671 0.940 0.287
Cs: 0.343 0.657 0.500
Br: 0.824 0.824 0.735
Cs: 0.657 0.343 0.500
Tl: 0.835 0.165 0.000
Br: 0.940 0.671 0.287
Br: 0.329 0.060 0.713
Br: 0.176 0.176 0.265
Tl: 0.165 0.835 0.000
Mg: 0.000 0.000 0.500
Br: 0.060 0.329 0.713

Output
V = 42.43 A^3/atom
Fermi-level density of states = 0.000 states/eV/atom
E_form (uncorrected) = -1.33 eV/atom

---

Tb4AsP3 after structural relaxation. Source: the Alexandria database, functional PBE-GGA.

Lattice parameters (Å, degrees): 4.055 7.025 7.025 70.56 90.00 90.00
Positions (direct):
Tb: 0.000 0.246 0.255
Tb: 0.000 0.755 0.745
P: 0.500 0.000 0.500
As: 0.500 0.500 0.000
Tb: 0.500 0.248 0.748
P: 0.000 0.500 0.500
Tb: 0.500 0.752 0.252
P: 0.000 0.000 0.000

Output
V = 23.59 A^3/atom
Fermi-level density of states = 0.104 states/eV/atom
Total DFT energy (no corrections) = -0.479 Ry per atom

---

Number 1: magnetic moment 0.00 μB/f.u.. Number 2: magnetic moment 0.00 μB/f.u.. Number 3: magnetic moment 0.00 μB/f.u.. Number 4: magnetic moment 0.00 μB/f.u.. Number 5: magnetic moment 0.00 μB/f.u.. Number 6: magnetic moment 0.00 μB/f.u..